# Na2Li16Ca

A geometry-optimized Na2Li16Ca structure (PBE, the Alexandria database).

Values from the calculation:
DOS at the Fermi energy in states/eV/cell: 30.39
Energy in eV/atom: -1.80
Calculated volume in A^3/atom: 23.99
Spin magnetization in μB/f.u.: 0.00
Energy relative to the elements in meV/atom: 58

The structure in CIF format:
```
data_Na2Li16Ca
_chemical_formula_sum 'Na6 Li48 Ca3'
_symmetry_space_group_name_H-M 'R 3 m'
_symmetry_Int_Tables_number 160
_symmetry_space_group_name_Hall 'R 3 -2"'
_cell_length_a 10.2219
_cell_length_b 10.2219
_cell_length_c 15.1120
_cell_angle_alpha 90.00
_cell_angle_beta 90.00
_cell_angle_gamma 120.00
loop_
_atom_site_label
_atom_site_type_symbol
_atom_site_fract_x
_atom_site_fract_y
_atom_site_fract_z
_atom_site_occupancy
Na1 Na 0.0000 0.0000 0.0000 1
Na2 Na 0.0000 0.0000 0.3083 1
Li1 Li 0.0000 0.0000 0.7650 1
Li2 Li 0.0016 0.5008 0.5179 1
Li3 Li 0.0235 0.5117 0.8160 1
Li4 Li 0.0338 0.3660 0.3344 1
Li5 Li 0.1792 0.3584 0.4996 1
Ca1 Ca 0.0000 0.0000 0.5526 1
```

***

# Na2LiCa

A geometry-optimized Na2LiCa structure (PBE, the Alexandria database).

Values from the calculation:
DOS at the Fermi energy in states/eV/cell: 12.86
Energy in eV/atom: -1.47
Calculated volume in A^3/atom: 34.89
Spin magnetization in μB/f.u.: 0.00
Energy relative to the elements in meV/atom: 171

The structure in CIF format:
```
data_Na2LiCa
_chemical_formula_sum 'Na8 Li4 Ca4'
_symmetry_space_group_name_H-M 'I -4 2 d'
_symmetry_Int_Tables_number 122
_symmetry_space_group_name_Hall 'I -4 2bw'
_cell_length_a 9.047
_cell_length_b 9.047
_cell_length_c 6.820
_cell_angle_alpha 90.00
_cell_angle_beta 90.00
_cell_angle_gamma 90.00
loop_
_atom_site_label
_atom_site_type_symbol
_atom_site_fract_x
_atom_site_fract_y
_atom_site_fract_z
_atom_site_occupancy
Na1 Na 0.205 0.250 0.125 1
Li1 Li 0.000 0.000 0.000 1
Ca1 Ca 0.000 0.000 0.500 1
```

***

# NaLiCa2

A geometry-optimized NaLiCa2 structure (PBE, the Alexandria database).

Values from the calculation:
DOS at the Fermi energy in states/eV/cell: 11.07
Energy in eV/atom: -1.71
Calculated volume in A^3/atom: 36.96
Spin magnetization in μB/f.u.: 0.00
Energy relative to the elements in meV/atom: 100

The structure in CIF format:
```
data_NaLiCa2
_chemical_formula_sum 'Na3 Li3 Ca6'
_symmetry_space_group_name_H-M 'R 3 m'
_symmetry_Int_Tables_number 160
_symmetry_space_group_name_Hall 'R 3 -2"'
_cell_length_a 3.8314
_cell_length_b 3.8314
_cell_length_c 34.8847
_cell_angle_alpha 90.00
_cell_angle_beta 90.00
_cell_angle_gamma 120.00
loop_
_atom_site_label
_atom_site_type_symbol
_atom_site_fract_x
_atom_site_fract_y
_atom_site_fract_z
_atom_site_occupancy
Na1 Na 0.0000 0.0000 0.0000 1
Li1 Li 0.0000 0.0000 0.8336 1
Ca1 Ca 0.0000 0.0000 0.2432 1
Ca2 Ca 0.0000 0.0000 0.4239 1
```

***

# NaLiCa2

A geometry-optimized NaLiCa2 structure (PBE, the Alexandria database).

Values from the calculation:
DOS at the Fermi energy in states/eV/cell: 13.22
Energy in eV/atom: -1.75
Calculated volume in A^3/atom: 34.83
Spin magnetization in μB/f.u.: 0.00
Energy relative to the elements in meV/atom: 59

The structure in CIF format:
```
data_NaLiCa2
_chemical_formula_sum 'Na4 Li4 Ca8'
_symmetry_space_group_name_H-M 'F m -3 m'
_symmetry_Int_Tables_number 225
_symmetry_space_group_name_Hall '-F 4 2 3'
_cell_length_a 8.230
_cell_length_b 8.230
_cell_length_c 8.230
_cell_angle_alpha 90.00
_cell_angle_beta 90.00
_cell_angle_gamma 90.00
loop_
_atom_site_label
_atom_site_type_symbol
_atom_site_fract_x
_atom_site_fract_y
_atom_site_fract_z
_atom_site_occupancy
Na1 Na 0.000 0.000 0.000 1
Li1 Li 0.000 0.000 0.500 1
Ca1 Ca 0.250 0.250 0.250 1
```

***

# NaLiCa

A geometry-optimized NaLiCa structure (PBE, the Alexandria database).

Values from the calculation:
DOS at the Fermi energy in states/eV/cell: 1.69
Energy in eV/atom: -1.66
Calculated volume in A^3/atom: 33.71
Spin magnetization in μB/f.u.: 0.00
Energy relative to the elements in meV/atom: 86

The structure in CIF format:
```
data_NaLiCa
_chemical_formula_sum 'Na1 Li1 Ca1'
_symmetry_space_group_name_H-M 'P 3 m 1'
_symmetry_Int_Tables_number 156
_cell_length_a 5.6043
_cell_length_b 5.6043
_cell_length_c 3.7184
_cell_angle_alpha 90.00
_cell_angle_beta 90.00
_cell_angle_gamma 120.00
loop_
_symmetry_equiv_pos_as_xyz
'x,y,z'
'-y,x-y,z'
'-x+y,-x,z'
'-y,-x,z'
'-x+y,y,z'
'x,x-y,z'
loop_
_atom_site_label
_atom_site_type_symbol
_atom_site_fract_x
_atom_site_fract_y
_atom_site_fract_z
_atom_site_occupancy
Na1 Na 0.0000 0.0000 0.0000 1
Li1 Li 0.3333 0.6667 0.0033 1
Ca1 Ca 0.6667 0.3333 0.5014 1
```

***

# NaLi4Ca5

A geometry-optimized NaLi4Ca5 structure (PBE, the Alexandria database).

Values from the calculation:
DOS at the Fermi energy in states/eV/cell: 7.71
Energy in eV/atom: -1.87
Calculated volume in A^3/atom: 32.70
Spin magnetization in μB/f.u.: 0.00
Energy relative to the elements in meV/atom: 26

The structure in CIF format:
```
data_NaLi4Ca5
_chemical_formula_sum 'Na1 Li4 Ca5'
_symmetry_space_group_name_H-M 'P 4/m m m'
_symmetry_Int_Tables_number 123
_symmetry_space_group_name_Hall '-P 4 2'
_cell_length_a 3.999
_cell_length_b 3.999
_cell_length_c 20.446
_cell_angle_alpha 90.00
_cell_angle_beta 90.00
_cell_angle_gamma 90.00
loop_
_atom_site_label
_atom_site_type_symbol
_atom_site_fract_x
_atom_site_fract_y
_atom_site_fract_z
_atom_site_occupancy
Na1 Na 0.000 0.000 0.000 1
Li1 Li 0.000 0.000 0.213 1
Li2 Li 0.000 0.000 0.403 1
Ca1 Ca 0.500 0.500 0.119 1
Ca2 Ca 0.500 0.500 0.308 1
Ca3 Ca 0.500 0.500 0.500 1
```

***

# Na2Li15Ca2

A geometry-optimized Na2Li15Ca2 structure (PBE, the Alexandria database).

Values from the calculation:
DOS at the Fermi energy in states/eV/cell: 33.77
Energy in eV/atom: -1.83
Calculated volume in A^3/atom: 24.31
Spin magnetization in μB/f.u.: 0.00
Energy relative to the elements in meV/atom: 34

The structure in CIF format:
```
data_Na2Li15Ca2
_chemical_formula_sum 'Na6 Li45 Ca6'
_symmetry_space_group_name_H-M 'R -3 m'
_symmetry_Int_Tables_number 166
_symmetry_space_group_name_Hall '-R 3 2"'
_cell_length_a 10.3036
_cell_length_b 10.3036
_cell_length_c 15.0707
_cell_angle_alpha 90.00
_cell_angle_beta 90.00
_cell_angle_gamma 120.00
loop_
_atom_site_label
_atom_site_type_symbol
_atom_site_fract_x
_atom_site_fract_y
_atom_site_fract_z
_atom_site_occupancy
Na1 Na 0.0000 0.0000 0.1026 1
Li1 Li 0.0000 0.3093 0.0000 1
Li2 Li 0.0000 0.5000 0.5000 1
Li3 Li 0.0078 0.5039 0.1515 1
Ca1 Ca 0.0000 0.0000 0.3487 1
```

***

# Na2LiCa2

A geometry-optimized Na2LiCa2 structure (PBE, the Alexandria database).

Values from the calculation:
DOS at the Fermi energy in states/eV/cell: 9.23
Energy in eV/atom: -1.49
Calculated volume in A^3/atom: 38.64
Spin magnetization in μB/f.u.: 0.00
Energy relative to the elements in meV/atom: 225

The structure in CIF format:
```
data_Na2LiCa2
_chemical_formula_sum 'Na4 Li2 Ca4'
_symmetry_space_group_name_H-M 'P 4/m b m'
_symmetry_Int_Tables_number 127
_symmetry_space_group_name_Hall '-P 4 2ab'
_cell_length_a 9.501
_cell_length_b 9.501
_cell_length_c 4.280
_cell_angle_alpha 90.00
_cell_angle_beta 90.00
_cell_angle_gamma 90.00
loop_
_atom_site_label
_atom_site_type_symbol
_atom_site_fract_x
_atom_site_fract_y
_atom_site_fract_z
_atom_site_occupancy
Na1 Na 0.154 0.346 0.000 1
Li1 Li 0.000 0.000 0.500 1
Ca1 Ca 0.145 0.645 0.500 1
```

***

# NaLi3Ca2

A geometry-optimized NaLi3Ca2 structure (PBE, the Alexandria database).

Values from the calculation:
DOS at the Fermi energy in states/eV/cell: 4.50
Energy in eV/atom: -1.80
Calculated volume in A^3/atom: 30.36
Spin magnetization in μB/f.u.: 0.00
Energy relative to the elements in meV/atom: 39

The structure in CIF format:
```
data_NaLi3Ca2
_chemical_formula_sum 'Na1 Li3 Ca2'
_symmetry_space_group_name_H-M 'P 4/m m m'
_symmetry_Int_Tables_number 123
_symmetry_space_group_name_Hall '-P 4 2'
_cell_length_a 3.967
_cell_length_b 3.967
_cell_length_c 11.575
_cell_angle_alpha 90.00
_cell_angle_beta 90.00
_cell_angle_gamma 90.00
loop_
_atom_site_label
_atom_site_type_symbol
_atom_site_fract_x
_atom_site_fract_y
_atom_site_fract_z
_atom_site_occupancy
Na1 Na 0.000 0.000 0.000 1
Li1 Li 0.500 0.500 0.153 1
Li2 Li 0.500 0.500 0.500 1
Ca1 Ca 0.000 0.000 0.332 1
```

***

# NaLiCa2

A geometry-optimized NaLiCa2 structure (PBE, the Alexandria database).

Values from the calculation:
DOS at the Fermi energy in states/eV/cell: 10.87
Energy in eV/atom: -1.65
Calculated volume in A^3/atom: 38.25
Spin magnetization in μB/f.u.: 0.00
Energy relative to the elements in meV/atom: 159

The structure in CIF format:
```
data_NaLiCa2
_chemical_formula_sum 'Na3 Li3 Ca6'
_symmetry_space_group_name_H-M 'R -3 m'
_symmetry_Int_Tables_number 166
_symmetry_space_group_name_Hall '-R 3 2"'
_cell_length_a 3.7487
_cell_length_b 3.7487
_cell_length_c 37.7159
_cell_angle_alpha 90.00
_cell_angle_beta 90.00
_cell_angle_gamma 120.00
loop_
_atom_site_label
_atom_site_type_symbol
_atom_site_fract_x
_atom_site_fract_y
_atom_site_fract_z
_atom_site_occupancy
Na1 Na 0.0000 0.0000 0.0000 1
Li1 Li 0.0000 0.0000 0.5000 1
Ca1 Ca 0.0000 0.0000 0.0949 1
```

***

# Na2LiCa

A geometry-optimized Na2LiCa structure (PBE, the Alexandria database).

Values from the calculation:
DOS at the Fermi energy in states/eV/cell: 8.82
Energy in eV/atom: -1.55
Calculated volume in A^3/atom: 35.07
Spin magnetization in μB/f.u.: 0.00
Energy relative to the elements in meV/atom: 90

The structure in CIF format:
```
data_Na2LiCa
_chemical_formula_sum 'Na6 Li3 Ca3'
_symmetry_space_group_name_H-M 'R 3 m'
_symmetry_Int_Tables_number 160
_symmetry_space_group_name_Hall 'R 3 -2"'
_cell_length_a 3.7307
_cell_length_b 3.7307
_cell_length_c 34.9130
_cell_angle_alpha 90.00
_cell_angle_beta 90.00
_cell_angle_gamma 120.00
loop_
_atom_site_label
_atom_site_type_symbol
_atom_site_fract_x
_atom_site_fract_y
_atom_site_fract_z
_atom_site_occupancy
Na1 Na 0.0000 0.0000 0.0000 1
Na2 Na 0.0000 0.0000 0.1826 1
Li1 Li 0.0000 0.0000 0.5915 1
Ca1 Ca 0.0000 0.0000 0.7577 1
```

***

# Na2LiCa2

A geometry-optimized Na2LiCa2 structure (PBE, the Alexandria database).

Values from the calculation:
DOS at the Fermi energy in states/eV/cell: 9.31
Energy in eV/atom: -1.54
Calculated volume in A^3/atom: 36.71
Spin magnetization in μB/f.u.: 0.00
Energy relative to the elements in meV/atom: 167

The structure in CIF format:
```
data_Na2LiCa2
_chemical_formula_sum 'Na4 Li2 Ca4'
_symmetry_space_group_name_H-M 'I 4/m m m'
_symmetry_Int_Tables_number 139
_symmetry_space_group_name_Hall '-I 4 2'
_cell_length_a 4.277
_cell_length_b 4.277
_cell_length_c 20.070
_cell_angle_alpha 90.00
_cell_angle_beta 90.00
_cell_angle_gamma 90.00
loop_
_atom_site_label
_atom_site_type_symbol
_atom_site_fract_x
_atom_site_fract_y
_atom_site_fract_z
_atom_site_occupancy
Na1 Na 0.000 0.500 0.250 1
Li1 Li 0.000 0.000 0.000 1
Ca1 Ca 0.000 0.000 0.409 1
```